Record 1
Crystalline HfAu at its relaxed geometry, computed with PBE.

Cell and atoms, written as CIF:
```
data_HfAu
_space_group_name_H-M_alt 'P 4/m m m'
_space_group_IT_number 123
_space_group_name_Hall '-P 4 2'
_cell_length_a 2.818
_cell_length_b 2.818
_cell_length_c 11.390
_cell_angle_alpha 90.00
_cell_angle_beta 90.00
_cell_angle_gamma 90.00
loop_
_atom_site_label
_atom_site_fract_x
_atom_site_fract_y
_atom_site_fract_z
Hf1 0.000 0.000 0.133
Au1 0.000 0.000 0.371
```

## Properties
The calculated volume comes out at 90.45 Å³/cell. The formation energy is 0.528 eV per atom.

---

Record 2
Crystalline Ac2SmTe at its relaxed geometry, computed with PBE.

Cell and atoms, written as CIF:
```
data_Ac2SmTe
_space_group_name_H-M_alt 'P 4/m m m'
_space_group_IT_number 123
_space_group_name_Hall '-P 4 2'
_cell_length_a 5.498
_cell_length_b 5.498
_cell_length_c 4.625
_cell_angle_alpha 90.00
_cell_angle_beta 90.00
_cell_angle_gamma 90.00
loop_
_atom_site_label
_atom_site_fract_x
_atom_site_fract_y
_atom_site_fract_z
Ac1 0.000 0.500 0.000
Sm1 0.000 0.000 0.500
Te1 0.500 0.500 0.500
```

## Properties
The calculated volume comes out at 139.79 Å³/cell. Its polymorph energy (0 for the lowest one) is 9.4 kJ/mol of atoms. For the formation energy without anion corrections, the calculation gives -462.9 meV per atom.

---

Record 3
Crystalline Ho6ZnS4 at its relaxed geometry, computed with PBE.

Cell and atoms, written as CIF:
```
data_Ho6ZnS4
_space_group_name_H-M_alt 'C m c m'
_space_group_IT_number 63
_space_group_name_Hall '-C 2c 2'
_cell_length_a 3.884
_cell_length_b 12.854
_cell_length_c 19.882
_cell_angle_alpha 90.00
_cell_angle_beta 90.00
_cell_angle_gamma 90.00
loop_
_atom_site_label
_atom_site_fract_x
_atom_site_fract_y
_atom_site_fract_z
Ho1 0.000 0.000 0.000
Ho2 0.000 0.169 0.250
Ho3 0.000 0.272 0.585
Ho4 0.000 0.456 0.162
Zn1 0.000 0.159 0.750
S1 0.000 0.092 0.123
S2 0.000 0.362 0.040
```

## Properties
The calculated volume comes out at 992.58 Å³/cell. For the formation energy without anion corrections, the calculation gives -1521.7 meV per atom.

---

Record 4
Crystalline La2Al3Os at its relaxed geometry, computed with PBE.

Cell and atoms, written as CIF:
```
data_La2Al3Os
_space_group_name_H-M_alt 'R -3 m'
_space_group_IT_number 166
_space_group_name_Hall '-R 3 2"'
_cell_length_a 5.6353
_cell_length_b 5.6353
_cell_length_c 13.6254
_cell_angle_alpha 90.00
_cell_angle_beta 90.00
_cell_angle_gamma 120.00
loop_
_atom_site_label
_atom_site_fract_x
_atom_site_fract_y
_atom_site_fract_z
La1 0.0000 0.0000 0.1269
Al1 0.0000 0.5000 0.0000
Os1 0.0000 0.0000 0.5000
```

## Properties
The calculated volume comes out at 374.77 Å³/cell. The formation energy is -0.407 eV per atom.

---

Record 5
Crystalline MnFeCo at its relaxed geometry, computed with PBE.

Cell and atoms, written as CIF:
```
data_MnFeCo
_space_group_name_H-M_alt 'F -4 3 m'
_space_group_IT_number 216
_space_group_name_Hall 'F -4 2 3'
_cell_length_a 5.534
_cell_length_b 5.534
_cell_length_c 5.534
_cell_angle_alpha 90.00
_cell_angle_beta 90.00
_cell_angle_gamma 90.00
loop_
_atom_site_label
_atom_site_fract_x
_atom_site_fract_y
_atom_site_fract_z
Mn1 0.000 0.000 0.000
Fe1 0.000 0.000 0.500
Co1 0.250 0.250 0.750
```

## Properties
The calculated volume comes out at 169.44 Å³/cell. Its polymorph energy (0 for the lowest one) is 49.3 kJ/mol of atoms. The formation energy is 0.555 eV per atom.

---

Record 6
Crystalline DySnPb2 at its relaxed geometry, computed with PBE.

Cell and atoms, written as CIF:
```
data_DySnPb2
_space_group_name_H-M_alt 'P 4/m m m'
_space_group_IT_number 123
_space_group_name_Hall '-P 4 2'
_cell_length_a 4.194
_cell_length_b 4.194
_cell_length_c 6.517
_cell_angle_alpha 90.00
_cell_angle_beta 90.00
_cell_angle_gamma 90.00
loop_
_atom_site_label
_atom_site_fract_x
_atom_site_fract_y
_atom_site_fract_z
Dy1 0.000 0.000 0.000
Sn1 0.000 0.000 0.500
Pb1 0.500 0.500 0.248
```

## Properties
The calculated volume comes out at 114.66 Å³/cell. Its polymorph energy (0 for the lowest one) is 8.4 kJ/mol of atoms. The formation energy is -0.229 eV per atom.

---

Record 7
Crystalline TlAgTe at its relaxed geometry, computed with PBE.

Cell and atoms, written as CIF:
```
data_TlAgTe
_space_group_name_H-M_alt 'P 3 m 1'
_space_group_IT_number 156
_space_group_name_Hall 'P 3 -2"'
_cell_length_a 4.7850
_cell_length_b 4.7850
_cell_length_c 4.7650
_cell_angle_alpha 90.00
_cell_angle_beta 90.00
_cell_angle_gamma 120.00
loop_
_atom_site_label
_atom_site_fract_x
_atom_site_fract_y
_atom_site_fract_z
Tl1 0.0000 0.0000 0.0000
Ag1 0.6667 0.3333 0.4982
Te1 0.3333 0.6667 0.4990
```

## Properties
The calculated volume comes out at 94.48 Å³/cell. Its polymorph energy (0 for the lowest one) is 1.6 kJ/mol of atoms. For the formation energy without anion corrections, the calculation gives -194.7 meV per atom.

---

Record 8
Crystalline Hf2NiBTe at its relaxed geometry, computed with PBE.

Cell and atoms, written as CIF:
```
data_Hf2NiBTe
_space_group_name_H-M_alt 'P 4/m m m'
_space_group_IT_number 123
_space_group_name_Hall '-P 4 2'
_cell_length_a 4.972
_cell_length_b 4.972
_cell_length_c 3.709
_cell_angle_alpha 90.00
_cell_angle_beta 90.00
_cell_angle_gamma 90.00
loop_
_atom_site_label
_atom_site_fract_x
_atom_site_fract_y
_atom_site_fract_z
Hf1 0.000 0.500 0.000
Ni1 0.000 0.000 0.000
B1 0.000 0.000 0.500
Te1 0.500 0.500 0.500
```

## Properties
The calculated volume comes out at 91.71 Å³/cell. For the formation energy without anion corrections, the calculation gives -14.8 meV per atom.

---

The highest calculated volume belongs to which entry? Ho6ZnS4

---

The highest calculated volume belongs to which entry? Ho6ZnS4